1.
VASP calculation (PBE) on a geometry-optimized SrCoB2Se structure.

It has space group P4/mmm (No. 123), with a = 5.0064 Å, b = 5.0064 Å, c = 5.6533 Å, α = 90.00°, β = 90.00° and γ = 90.00°. The asymmetric unit holds Sr at (0.0000, 0.0000, 0.0000), Co at (0.5000, 0.5000, 0.5000), B at (0.0000, 0.5000, 0.0000) and Se at (0.0000, 0.0000, 0.5000).

The raw formation energy comes out at 2.382 eV per atom. The crystal system is tetragonal. The volume is 28.34 A^3/atom.

2.
VASP calculation (PBE) on a geometry-optimized CsZn3Cu structure.

It has space group Pm-3m (No. 221), with a = 6.9241 Å, b = 6.9241 Å, c = 6.9241 Å, α = 90.00°, β = 90.00° and γ = 90.00°. The asymmetric unit holds Cs at (0.0000, 0.0000, 0.0000), Zn at (0.0000, 0.0000, 0.5000) and Cu at (0.5000, 0.5000, 0.5000).

The crystal system is cubic. The volume is 66.39 A^3/atom. The value obtained for the formation energy is 1.13 eV/atom.

Which of these has the lowest volume? SrCoB2Se

The highest volume belongs to which entry? CsZn3Cu